{"formula": "Sr2ErTl", "functional": "PBE", "state": "optimized geometry", "lattice_angstrom": [[1.9204, 1.1088, 12.3712], [-1.9204, 1.1088, 12.3712], [0.0000, -2.2175, 12.3712]], "species": ["Sr", "Sr", "Er", "Tl"], "frac_coords": [[0.0961, 0.0961, 0.0961], [0.9039, 0.9039, 0.9039], [0.0000, 0.0000, 0.0000], [0.5000, 0.5000, 0.5000]], "e_form_ev_per_atom": 0.1657, "mass_density_g_cm3": 5.75}